## HoTlSn (GGA-PBE)

Data for a relaxed HoTlSn crystal.

Offset from the most stable computed form (meV/atom): 0
Fermi-level density of states (states/eV/cell): 3.30
Energy of formation from the pure elements (eV/atom): -0.413
Total moment (μB/f.u.): 0.00

```
HoTlSn
1.0
2.326 -8.166 0.000
2.326 8.166 0.000
0.000 0.000 4.268
Ho Tl Sn
2 2 2
Direct
0.089 0.911 0.750 Ho
0.911 0.089 0.250 Ho
0.259 0.741 0.250 Tl
0.741 0.259 0.750 Tl
0.432 0.568 0.750 Sn
0.568 0.432 0.250 Sn
```